1.
5
Lattice="4.698 0.000 0.000 0.000 4.698 0.000 0.000 0.000 4.698" Properties=species:S:1:pos:R:3 comment="NaBeP3 (SCAN, single point on PBEsol structure)" dft_energy_ev_per_atom=-6.05 sg=Pm-3m pbc="T T T"
Na 0.000 0.000 0.000
Be 2.349 2.349 2.349
P 0.000 0.000 2.349
P 0.000 2.349 0.000
P 2.349 0.000 0.000

2.
5
Lattice="4.570 0.000 0.000 0.000 4.570 0.000 0.000 0.000 4.082" Properties=species:S:1:pos:R:3 comment="NaBePS2 (SCAN, single point on PBEsol structure)" e_form_raw_mev_per_atom=31 sg=P4/mmm pbc="T T T"
Na 0.000 0.000 0.000
Be 2.285 2.285 2.041
P 2.285 2.285 0.000
S 0.000 2.285 2.041
S 2.285 0.000 2.041

3.
5
Lattice="4.528 0.000 0.000 0.000 4.528 0.000 0.000 0.000 4.807" Properties=species:S:1:pos:R:3 comment="NaBe2SbP (SCAN, single point on PBEsol structure)" e_form_raw_mev_per_atom=1562 sg=P4/mmm pbc="T T T"
Na 0.000 0.000 0.000
Be 0.000 2.264 0.000
Be 2.264 0.000 0.000
Sb 2.264 2.264 2.404
P 0.000 0.000 2.404

4.
5
Lattice="4.147 0.000 0.000 0.000 4.147 0.000 0.000 0.000 4.125" Properties=species:S:1:pos:R:3 comment="NaBeTc2P (SCAN, single point on PBEsol structure)" dft_energy_ev_per_atom=-16.82 sg=P4/mmm pbc="T T T"
Na 0.000 0.000 0.000
Be 0.000 0.000 2.063
Tc 0.000 2.073 2.063
Tc 2.073 0.000 2.063
P 2.073 2.073 0.000

5.
16
Lattice="10.864 0.000 0.000 0.000 10.864 0.000 0.000 0.000 4.491" Properties=species:S:1:pos:R:3 comment="Na2BePb (SCAN, single point on PBEsol structure)" dft_energy_ev_per_atom=-21.92 sg=I-42d pbc="T T T"
Na 0.789 8.148 0.561
Na 2.716 0.789 3.929
Na 2.716 4.643 1.684
Na 4.643 8.148 2.807
Na 6.221 2.716 2.807
Na 8.148 6.221 1.684
Na 8.148 10.075 3.929
Na 10.075 2.716 0.561
Be 0.000 0.000 0.000
Be 0.000 5.432 1.123
Be 5.432 0.000 3.368
Be 5.432 5.432 2.245
Pb 0.000 0.000 2.245
Pb 0.000 5.432 3.368
Pb 5.432 0.000 1.123
Pb 5.432 5.432 0.000

6.
5
Lattice="4.782 0.000 0.000 0.000 4.782 0.000 0.000 0.000 4.633" Properties=species:S:1:pos:R:3 comment="NaBeRhPb2 (SCAN, single point on PBEsol structure)" dft_energy_ev_per_atom=-38.09 sg=P4/mmm pbc="T T T"
Na 0.000 0.000 0.000
Be 0.000 0.000 2.317
Rh 2.391 2.391 0.000
Pb 0.000 2.391 2.317
Pb 2.391 0.000 2.317

7.
5
Lattice="4.285 0.000 0.000 0.000 4.285 0.000 0.000 0.000 5.711" Properties=species:S:1:pos:R:3 comment="NaBe2PbS (SCAN, single point on PBEsol structure)" e_form_raw_mev_per_atom=474 sg=P4/mmm pbc="T T T"
Na 0.000 0.000 0.000
Be 0.000 2.142 2.856
Be 2.142 0.000 2.856
Pb 2.142 2.142 0.000
S 2.142 2.142 2.856

8.
5
Lattice="4.319 0.000 0.000 0.000 4.319 0.000 0.000 0.000 4.319" Properties=species:S:1:pos:R:3 comment="NaBe3Pt (SCAN, single point on PBEsol structure)" relative_energy_ev_per_atom=0.000 sg=Pm-3m pbc="T T T"
Na 0.000 0.000 0.000
Be 0.000 2.160 2.160
Be 2.160 0.000 2.160
Be 2.160 2.160 0.000
Pt 2.160 2.160 2.160